# Mn3O5F PBE with a Hubbard U relaxed
data_Mn3O5F
_cell_length_a 8.898
_cell_length_b 6.315
_cell_length_c 7.247
_cell_angle_alpha 90.00
_cell_angle_beta 113.14
_cell_angle_gamma 90.00
_symmetry_space_group_name_H-M 'C 1 2/m 1'
_symmetry_Int_Tables_number 12
_symmetry_space_group_name_Hall '-C 2y'
loop_
_atom_site_label
_atom_site_type_symbol
_atom_site_fract_x
_atom_site_fract_y
_atom_site_fract_z
Mn1 Mn 0.000 0.000 0.000
Mn2 Mn 0.000 0.000 0.500
Mn3 Mn 0.151 0.500 0.173
Mn4 Mn 0.170 0.500 0.661
O1 O 0.000 0.307 0.500
O2 O 0.070 0.500 0.876
O3 O 0.164 0.195 0.171
O4 O 0.235 0.000 0.539
F1 F 0.122 0.000 0.807
# - E (eV per atom) = -6.948
# - M_tot (μB/atom) = 1.111